Entry from Alexandria via LeMat-Bulk: BeNb2InH after structural relaxation (PBE).

```
BeNb2InH
1.0
5.040 0.000 0.000
0.000 2.961 0.000
0.000 0.000 5.040
Nb In H Be
2 1 1 1
direct
0.500 0.000 0.000 Nb
0.000 0.000 0.500 Nb
0.500 0.500 0.500 In
0.000 0.500 0.000 H
0.000 0.000 0.000 Be
```

## Properties
Its space-group type is P4/mmm (123).



Entry from Alexandria via LeMat-Bulk: BeIn2HPd after structural relaxation (PBE).

```
BeIn2HPd
1.0
-2.306 -1.622 3.982
1.206 -3.156 -0.588
3.943 1.005 2.693
H In Pd Be
1 2 1 1
direct
0.000 0.000 0.000 H
0.500 0.000 0.000 In
0.000 0.000 0.500 In
0.000 0.500 0.000 Pd
0.500 0.500 0.500 Be
```

## Properties
Its space-group type is P4/mmm (123).



Number 1: calculated volume 75.2 Å³/cell, final energy -0.19498 Ha/atom. Number 2: calculated volume 81.6 Å³/cell, final energy -0.11954 Ha/atom.